Record 1
Computed, not measured: a PBEsol-optimized structure of Cu2SiSbAs at the meta-GGA SCAN level of DFT.

Cell lengths 4.361, 4.361, 5.650 Å; angles 90.00, 90.00, 90.00 degrees
Atoms (fractional coordinates):
Cu 0.000 0.500 0.000
Cu 0.500 0.000 0.000
Si 0.000 0.000 0.500
Sb 0.500 0.500 0.500
As 0.500 0.500 0.000

Values from the calculation:
* density: 5.44 g/cm³
* total DFT energy (no corrections): -18.85 eV/atom
* density of states at the Fermi level: 0.46 states/eV/atom

***

Record 2
Computed, not measured: a PBEsol-optimized structure of SrCa2Zn2 at the meta-GGA SCAN level of DFT.

Cell lengths 8.769, 8.769, 3.499 Å; angles 90.00, 90.00, 90.00 degrees
Atoms (fractional coordinates):
Sr 0.000 0.000 0.000
Sr 0.500 0.500 0.000
Ca 0.132 0.368 0.000
Ca 0.368 0.868 0.000
Ca 0.632 0.132 0.000
Ca 0.868 0.632 0.000
Zn 0.163 0.663 0.500
Zn 0.337 0.163 0.500
Zn 0.663 0.837 0.500
Zn 0.837 0.337 0.500

Values from the calculation:
* density: 3.69 g/cm³
* total DFT energy (no corrections): -13.86 eV/atom
* density of states at the Fermi level: 0.64 states/eV/atom
* energy of formation: -2.985 kcal/mol of atoms

***

Record 3
Computed, not measured: a PBEsol-optimized structure of CuTeSe2 at the meta-GGA SCAN level of DFT.

Cell lengths 12.066, 3.521, 4.467 Å; angles 90.00, 110.98, 90.00 degrees
Atoms (fractional coordinates):
Cu 0.000 0.000 0.000
Cu 0.500 0.500 0.000
Te 0.268 0.500 0.074
Te 0.768 0.000 0.074
Se 0.103 0.500 0.349
Se 0.415 0.000 0.636
Se 0.603 0.000 0.349
Se 0.915 0.500 0.636

Values from the calculation:
* density: 6.54 g/cm³
* total DFT energy (no corrections): -23.12 eV/atom
* density of states at the Fermi level: 0.32 states/eV/atom

***

Record 4
Computed, not measured: a PBEsol-optimized structure of Sc2ReGe2 at the meta-GGA SCAN level of DFT.

Cell lengths 6.631, 6.631, 3.834 Å; angles 90.00, 90.00, 90.00 degrees
Atoms (fractional coordinates):
Sc 0.175 0.325 0.000
Sc 0.325 0.825 0.000
Sc 0.675 0.175 0.000
Sc 0.825 0.675 0.000
Re 0.000 0.000 0.500
Re 0.500 0.500 0.500
Ge 0.133 0.633 0.500
Ge 0.367 0.133 0.500
Ge 0.633 0.867 0.500
Ge 0.867 0.367 0.500

Values from the calculation:
* density: 8.30 g/cm³
* total DFT energy (no corrections): -28.26 eV/atom
* density of states at the Fermi level: 0.41 states/eV/atom
* energy of formation: -16.501 kcal/mol of atoms

***

Record 5
Computed, not measured: a PBEsol-optimized structure of Zn2FeRh at the meta-GGA SCAN level of DFT.

Cell lengths 3.780, 3.780, 7.160 Å; angles 90.00, 90.00, 90.00 degrees
Atoms (fractional coordinates):
Zn 0.000 0.000 0.000
Zn 0.000 0.500 0.250
Zn 0.500 0.000 0.750
Zn 0.500 0.500 0.500
Fe 0.000 0.000 0.500
Fe 0.500 0.500 0.000
Rh 0.000 0.500 0.750
Rh 0.500 0.000 0.250

Values from the calculation:
* density: 9.40 g/cm³
* total DFT energy (no corrections): -19.95 eV/atom
* density of states at the Fermi level: 0.61 states/eV/atom
* energy of formation: -4.941 kcal/mol of atoms

***

Record 6
Computed, not measured: a PBEsol-optimized structure of Pt2Pb at the meta-GGA SCAN level of DFT.

Cell lengths 5.433, 5.433, 8.789 Å; angles 90.00, 90.00, 120.00 degrees
Atoms (fractional coordinates):
Pt 0.000 0.000 0.000
Pt 0.000 0.000 0.500
Pt 0.168 0.336 0.250
Pt 0.168 0.832 0.250
Pt 0.336 0.168 0.750
Pt 0.664 0.832 0.250
Pt 0.832 0.168 0.750
Pt 0.832 0.664 0.750
Pb 0.333 0.667 0.562
Pb 0.333 0.667 0.938
Pb 0.667 0.333 0.062
Pb 0.667 0.333 0.438

Values from the calculation:
* density: 17.66 g/cm³
* total DFT energy (no corrections): -72.07 eV/atom
* density of states at the Fermi level: 0.35 states/eV/atom
* energy of formation: -0.338 kcal/mol of atoms

***

Record 7
Computed, not measured: a PBEsol-optimized structure of CaAlZn3 at the meta-GGA SCAN level of DFT.

Cell lengths 5.340, 5.340, 5.340 Å; angles 90.00, 90.00, 90.00 degrees
Atoms (fractional coordinates):
Ca 0.000 0.000 0.000
Al 0.500 0.500 0.500
Zn 0.000 0.000 0.500
Zn 0.000 0.500 0.000
Zn 0.500 0.000 0.000

Values from the calculation:
* density: 2.87 g/cm³
* total DFT energy (no corrections): -10.47 eV/atom
* density of states at the Fermi level: 0.93 states/eV/atom
* energy of formation: 25.983 kcal/mol of atoms

***

Record 8
Computed, not measured: a PBEsol-optimized structure of ErCo4Ge2 at the meta-GGA SCAN level of DFT.

Cell lengths 7.121, 7.121, 3.638 Å; angles 90.00, 90.00, 90.00 degrees
Atoms (fractional coordinates):
Er 0.000 0.000 0.000
Er 0.500 0.500 0.500
Co 0.081 0.354 0.500
Co 0.146 0.581 0.000
Co 0.354 0.081 0.500
Co 0.419 0.854 0.000
Co 0.581 0.146 0.000
Co 0.646 0.919 0.500
Co 0.854 0.419 0.000
Co 0.919 0.646 0.500
Ge 0.223 0.777 0.500
Ge 0.277 0.277 0.000
Ge 0.723 0.723 0.000
Ge 0.777 0.223 0.500

Values from the calculation:
* density: 9.87 g/cm³
* total DFT energy (no corrections): -22.85 eV/atom
* density of states at the Fermi level: 0.39 states/eV/atom
* energy of formation: -7.314 kcal/mol of atoms

***

Record 9
Computed, not measured: a PBEsol-optimized structure of MgSi3I at the meta-GGA SCAN level of DFT.

Cell lengths 4.977, 4.977, 4.977 Å; angles 90.00, 90.00, 90.00 degrees
Atoms (fractional coordinates):
Mg 0.000 0.000 0.000
Si 0.000 0.000 0.500
Si 0.000 0.500 0.000
Si 0.500 0.000 0.000
I 0.500 0.500 0.500

Values from the calculation:
* density: 3.17 g/cm³
* total DFT energy (no corrections): -13.07 eV/atom
* density of states at the Fermi level: 0.86 states/eV/atom

***

Record 10
Computed, not measured: a PBEsol-optimized structure of Al2NiP6 at the meta-GGA SCAN level of DFT.

Cell lengths 6.983, 6.983, 3.101 Å; angles 90.00, 90.00, 120.00 degrees
Atoms (fractional coordinates):
Al 0.333 0.667 0.000
Al 0.667 0.333 0.000
Ni 0.000 0.000 0.500
P 0.000 0.487 0.500
P 0.000 0.738 0.000
P 0.262 0.262 0.000
P 0.487 0.000 0.500
P 0.513 0.513 0.500
P 0.738 0.000 0.000

Values from the calculation:
* density: 3.78 g/cm³
* total DFT energy (no corrections): -10.27 eV/atom
* density of states at the Fermi level: 0.34 states/eV/atom
* energy of formation: 4.244 kcal/mol of atoms

***

Record 11
Computed, not measured: a PBEsol-optimized structure of LiSi2Ag at the meta-GGA SCAN level of DFT.

Cell lengths 5.253, 8.245, 2.728 Å; angles 90.00, 90.00, 90.00 degrees
Atoms (fractional coordinates):
Li 0.000 0.000 0.000
Li 0.500 0.500 0.000
Si 0.250 0.250 0.500
Si 0.250 0.750 0.500
Si 0.750 0.250 0.500
Si 0.750 0.750 0.500
Ag 0.000 0.500 0.000
Ag 0.500 0.000 0.000

Values from the calculation:
* density: 4.81 g/cm³
* total DFT energy (no corrections): -13.30 eV/atom
* ΔE to the lowest computed polymorph: 0.00 eV/f.u.
* density of states at the Fermi level: 0.32 states/eV/atom

***

Record 12
Computed, not measured: a PBEsol-optimized structure of CuIF3 at the meta-GGA SCAN level of DFT.

Cell lengths 4.112, 4.112, 4.112 Å; angles 90.00, 90.00, 90.00 degrees
Atoms (fractional coordinates):
Cu 0.000 0.000 0.000
I 0.500 0.500 0.500
F 0.000 0.000 0.500
F 0.000 0.500 0.000
F 0.500 0.000 0.000

Values from the calculation:
* density: 5.91 g/cm³
* total DFT energy (no corrections): -13.51 eV/atom
* density of states at the Fermi level: 0.51 states/eV/atom